Entry 1:
PbIF GGA-PBEsol optimized geometry; final energy = -4.052 eV per atom; E_form (uncorrected) = -1.4874 eV/atom; total magnetization = 0.0 μB per formula unit
1.0
4.164 0.000 0.000
0.000 4.164 0.000
0.000 0.000 8.994
Pb I F
2 2 2
Cartesian
2.082 0.000 1.456
0.000 2.082 7.537
2.082 0.000 5.979
0.000 2.082 3.015
0.000 0.000 0.000
2.082 2.082 0.000



Entry 2:
LiNiSe2Br GGA-PBEsol optimized geometry; final energy = -2.980 eV per atom; E_form (uncorrected) = 0.5586 eV/atom; total magnetization = 1.7 μB per formula unit
1.0
4.490 0.000 0.000
0.000 4.490 0.000
0.000 0.000 4.925
Ni Se Br Li
1 2 1 1
Cartesian
2.245 2.245 2.462
0.000 2.245 0.000
2.245 0.000 0.000
0.000 0.000 2.462
0.000 0.000 0.000



Entry 3:
LiSb2RhPb GGA-PBEsol optimized geometry; final energy = -3.742 eV per atom; E_form (uncorrected) = 0.9012 eV/atom; total magnetization = 0.0 μB per formula unit
1.0
5.001 0.000 0.000
0.000 5.690 0.000
0.000 0.000 5.690
Pb Sb Rh Li
1 2 1 1
Cartesian
0.000 0.000 0.000
0.000 0.000 2.845
0.000 2.845 0.000
2.500 0.000 0.000
2.500 2.845 2.845



Entry 4:
TaTe4Os GGA-PBEsol optimized geometry; final energy = -6.721 eV per atom; E_form (uncorrected) = -0.2425 eV/atom; total magnetization = 0.0 μB per formula unit
1.0
-3.689 -0.576 0.239
1.446 -4.556 11.341
-1.543 11.949 4.997
Ta Te Os
4 16 4
Cartesian
-1.259 1.458 13.376
0.068 -0.167 0.650
-2.332 8.262 13.208
-0.348 4.564 5.642
-1.880 6.157 15.113
-0.504 4.375 2.778
-1.207 0.152 11.020
-1.028 9.231 6.390
-1.807 3.804 10.573
0.346 -0.425 4.327
-1.235 -1.178 7.383
-0.383 5.781 8.028
-2.604 8.451 9.468
0.215 2.126 8.442
-1.895 2.288 5.550
-0.327 6.989 11.816
-2.554 6.253 4.932
1.054 -2.560 10.098
-1.935 1.097 2.053
0.288 3.735 13.454
-1.955 3.630 7.862
0.774 -2.414 6.133
-3.035 10.462 7.668
0.360 2.320 11.163



Entry 5:
CaCdIn2Mo GGA-PBEsol optimized geometry; final energy = -2.597 eV per atom; total magnetization = 4.2 μB per formula unit; formation energy from the elements = 1.616 eV per atom
1.0
-1.343 -3.680 3.736
0.797 -4.072 -3.725
5.343 -0.374 1.552
Mo Cd Ca In
1 1 1 2
Cartesian
2.399 -4.063 0.781
-0.671 -1.840 1.868
0.000 0.000 0.000
2.672 -0.187 0.776
0.398 -2.036 -1.863



Entry 6:
LiAl2Tc GGA-PBEsol optimized geometry; relative energy among the computed polymorphs = 29 meV per atom; final energy = -5.602 eV per atom; total magnetization = 0.0 μB per formula unit; formation energy from the elements = -0.248 eV per atom
1.0
-1.179 3.111 1.688
-3.338 -1.569 0.561
3.493 -2.168 2.313
Al Tc Li
2 1 1
Cartesian
0.028 0.857 2.562
-1.052 -1.483 1.999
-2.258 0.771 1.124
0.000 0.000 0.000



Entry 7:
BaBeRh2 GGA-PBEsol optimized geometry; final energy = -5.416 eV per atom; total magnetization = 0.0 μB per formula unit; formation energy from the elements = 0.191 eV per atom
1.0
-0.466 -0.427 -3.070
-3.047 -0.503 0.532
-1.286 6.973 -0.774
Be Rh Ba
1 2 1
Cartesian
-2.871 5.578 -1.940
-1.221 6.619 -0.735
-1.994 0.825 -1.412
-0.642 3.481 -0.387



Entry 8:
Nb3ReAg GGA-PBEsol optimized geometry; final energy = -8.557 eV per atom; total magnetization = 0.0 μB per formula unit; formation energy from the elements = 1.265 eV per atom
1.0
-3.597 1.066 -2.993
-2.573 -3.630 1.798
-1.864 2.952 3.292
Re Nb Ag
1 3 1
Cartesian
0.000 0.000 0.000
-1.286 -1.815 0.899
-0.932 1.476 1.646
-1.798 0.533 -1.496
-4.017 0.194 1.049



Entry 9:
Hf2Os GGA-PBEsol optimized geometry; final energy = -11.489 eV per atom; total magnetization = 0.0 μB per formula unit; formation energy from the elements = -0.415 eV per atom
1.0
8.619 0.000 0.000
4.310 7.464 0.000
4.310 2.488 7.038
Hf Os
16 8
Cartesian
2.155 1.244 0.880
4.310 2.488 4.398
4.310 4.976 0.880
6.464 1.244 0.880
10.250 5.918 2.187
6.988 4.035 4.851
10.250 4.035 4.851
6.988 5.918 2.187
8.619 3.093 2.187
8.619 6.860 4.851
11.298 6.523 6.610
14.560 8.406 3.946
11.298 8.406 3.946
14.560 6.523 6.610
12.929 9.348 6.610
12.929 5.581 3.946
15.697 9.063 6.408
12.929 7.464 1.888
12.929 4.268 6.408
10.160 9.063 6.408
5.851 3.378 2.389
8.619 4.976 6.909
8.619 8.173 2.389
11.388 3.378 2.389



Entry 10:
Sc2InPb GGA-PBEsol optimized geometry; final energy = -5.473 eV per atom; total magnetization = 0.8 μB per formula unit; formation energy from the elements = -0.425 eV per atom
1.0
-1.311 1.979 2.221
-2.015 -2.377 0.928
5.737 -2.628 5.728
Pb Sc In
1 2 1
Cartesian
-1.663 -0.199 1.574
1.471 -0.674 1.468
4.267 -1.954 4.259
1.206 -1.513 4.438



Entry 11:
LaZrTl2 GGA-PBEsol optimized geometry; final energy = -5.041 eV per atom; total magnetization = 0.0 μB per formula unit; formation energy from the elements = -0.116 eV per atom
1.0
3.334 0.000 0.000
1.667 2.887 0.000
1.667 0.962 10.621
La Tl Zr
1 2 1
Cartesian
0.000 0.000 0.000
1.667 0.962 2.832
5.000 2.887 7.789
3.334 1.925 5.310



Entry 12:
RbMg2Sb2 GGA-PBEsol optimized geometry; final energy = -3.152 eV per atom; E_form (uncorrected) = -0.4368 eV/atom; total magnetization = 0.0 μB per formula unit
1.0
-4.624 0.624 -1.210
-1.353 -2.575 3.844
2.787 6.429 2.267
Sb Mg Rb
2 2 1
Cartesian
-0.151 4.074 2.677
-3.040 0.404 2.223
-0.778 1.439 3.713
-2.413 3.039 1.186
0.000 0.000 0.000



Entry 13:
Ta3Zn2Bi3O14 GGA-PBEsol optimized geometry; final energy = -7.839 eV per atom; E_form (uncorrected) = -2.0583 eV/atom; total magnetization = 0.0 μB per formula unit
1.0
-4.536 -5.242 -2.006
1.761 -3.877 -5.826
2.118 -6.818 1.054
Ta Zn Bi O
3 2 3 14
Cartesian
-1.209 -6.030 -0.476
1.939 -5.347 -2.386
-1.387 -4.559 -3.916
-0.328 -7.968 -3.389
0.000 0.000 0.000
0.881 -1.938 -2.913
-2.268 -2.621 -1.003
1.059 -3.409 0.527
0.673 -9.495 -2.285
-2.279 -8.796 -3.642
0.515 -8.190 -5.337
-1.344 -10.328 -5.906
1.203 -10.931 -4.735
-1.207 -11.453 -3.273
-1.330 -6.441 -4.494
1.622 -7.140 -3.137
-1.172 -7.746 -1.441
0.687 -5.609 -0.873
-1.860 -5.006 -2.044
0.550 -4.483 -3.506
-0.070 -1.710 -0.727
-0.586 -14.227 -6.051



Entry 14:
KBiSCl2O4 GGA-PBEsol optimized geometry; final energy = -5.379 eV per atom; E_form (uncorrected) = -1.5106 eV/atom; total magnetization = 0.0 μB per formula unit
1.0
-1.738 1.057 -5.958
-7.056 0.343 2.119
1.394 14.872 2.231
K Bi S Cl O
4 4 4 8 16
Cartesian
-5.468 2.554 1.837
-4.701 13.429 0.216
-3.292 6.315 -4.362
-1.339 10.247 -0.908
-3.166 2.402 -1.903
-1.536 14.203 -3.611
-6.366 6.504 -0.390
-3.731 9.435 2.687
-5.208 6.039 2.571
-4.860 9.882 -0.175
-3.791 2.841 -5.024
-0.940 13.782 -0.589
-3.844 4.614 -0.695
-7.591 12.138 -1.595
-0.735 4.051 -3.085
-2.629 11.741 2.158
-5.571 1.645 -1.951
-4.771 14.442 3.412
-1.214 7.127 -1.167
-3.244 9.330 -3.511
-2.262 13.436 -1.150
-1.193 2.411 -0.090
-5.619 10.330 1.010
-5.725 6.368 -2.988
-1.040 14.799 0.502
-3.230 1.543 -4.536
-5.633 8.908 -1.004
-4.896 7.294 1.821
-0.268 12.589 0.008
-3.938 3.715 -3.822
-4.524 11.027 -1.074
-6.070 5.214 1.672
-0.099 14.301 -1.719
-3.405 1.575 0.315
-3.586 9.260 0.319
-7.710 7.408 -2.133



Entry 15:
CaNdGa3O7 GGA-PBEsol optimized geometry; relative energy among the computed polymorphs = 0 meV per atom; final energy = -6.947 eV per atom; E_form (uncorrected) = -2.4416 eV/atom; total magnetization = 0.0 μB per formula unit
1.0
5.227 0.000 0.048
0.000 7.850 0.000
0.035 0.000 7.898
Ca Nd Ga O
2 2 6 14
Cartesian
2.802 2.708 7.326
2.460 6.632 0.620
2.619 5.155 4.721
2.643 1.230 3.225
0.064 3.914 2.069
5.198 7.839 5.877
5.089 1.112 0.856
0.173 5.037 7.090
5.059 6.715 3.132
0.203 2.790 4.814
1.083 3.756 6.106
4.179 7.681 1.840
1.270 3.353 3.348
3.992 7.278 4.597
1.000 4.821 0.798
4.262 0.896 7.148
4.158 2.601 1.501
1.104 6.526 6.444
4.221 5.077 3.036
1.041 1.152 4.910
1.660 1.125 0.958
3.602 5.050 6.988
1.634 6.763 3.115
3.628 2.838 4.831



Entry 16:
KBa2InCu GGA-PBEsol optimized geometry; final energy = -2.348 eV per atom; total magnetization = 0.0 μB per formula unit; formation energy from the elements = 0.202 eV per atom
1.0
4.951 0.000 0.000
0.000 6.756 0.000
0.000 0.000 6.756
K Ba Cu In
1 2 1 1
Cartesian
2.475 3.378 3.378
0.000 0.000 3.378
0.000 3.378 0.000
2.475 0.000 0.000
0.000 0.000 0.000



Entry 17:
KScMnH2 GGA-PBEsol optimized geometry; final energy = -3.829 eV per atom; total magnetization = 3.2 μB per formula unit
1.0
-2.630 3.099 0.194
-2.052 -1.926 2.940
3.784 2.927 4.558
Sc H K Mn
1 2 1 1
Cartesian
0.000 0.000 0.000
-1.026 -0.963 1.470
-1.315 1.550 0.097
1.892 1.463 2.279
-0.449 2.050 3.846



Entry 18:
Fe2W GGA-PBEsol optimized geometry; final energy = -10.655 eV per atom; total magnetization = 1.2 μB per formula unit; formation energy from the elements = -0.077 eV per atom
1.0
4.616 0.000 0.000
-2.308 3.998 0.000
0.000 0.000 7.637
Fe W
8 4
Cartesian
0.000 0.000 3.819
0.000 0.000 0.000
-1.127 3.316 1.909
2.308 2.634 5.728
1.181 0.682 5.728
1.127 3.316 1.909
0.000 1.363 1.909
3.436 0.682 5.728
0.000 2.665 4.343
2.308 1.333 0.524
2.308 1.333 3.295
0.000 2.665 7.113



Entry 19:
Hf3FeBr GGA-PBEsol optimized geometry; final energy = -8.188 eV per atom; E_form (uncorrected) = 0.2803 eV/atom; total magnetization = 0.0 μB per formula unit
1.0
4.770 0.000 0.000
0.000 4.770 0.000
0.000 0.000 4.770
Hf Fe Br
3 1 1
Cartesian
0.000 2.385 0.000
0.000 0.000 2.385
2.385 0.000 0.000
0.000 0.000 0.000
2.385 2.385 2.385



Entry 20:
BeCI2 GGA-PBEsol optimized geometry; final energy = -2.359 eV per atom; E_form (uncorrected) = 1.9353 eV/atom; total magnetization = 0.0 μB per formula unit
1.0
4.726 0.000 0.000
2.363 4.093 0.000
2.363 1.364 3.859
I Be C
2 1 1
Cartesian
2.363 1.364 0.965
7.089 4.093 2.894
0.000 0.000 0.000
4.726 2.728 1.929